[1]
PmTcBi: relaxed, GGA-PBE.

Results
- Density: 9.445 Mg/m³
- E_form: 0.096 eV per atom

Cell lengths 3.497, 5.260, 8.640 Å; angles 90.00, 90.23, 90.08 degrees
Space group P-1 (No. 2)
One atom of each set of equivalent atoms:
Pm  0.001  0.250  0.145
Tc  0.499  0.250  0.868
Bi  0.004  0.750  0.383

[2]
Ca4LaCr: relaxed, GGA-PBE.

Results
- Density: 2.537 Mg/m³
- E_form: 0.594 eV per atom

Cell lengths 9.724, 9.724, 9.724 Å; angles 90.00, 90.00, 90.00 degrees
Space group F-43m (No. 216)
One atom of each set of equivalent atoms:
Ca  0.125  0.125  0.125
La  0.000  0.000  0.500
Cr  0.250  0.250  0.750

[3]
HoCdHgRh: relaxed, GGA-PBE.

Results
- Density: 11.692 Mg/m³
- E_form: -0.366 eV per atom

Cell lengths 6.910, 6.910, 6.910 Å; angles 90.00, 90.00, 90.00 degrees
Space group F-43m (No. 216)
One atom of each set of equivalent atoms:
Ho  0.000  0.000  0.000
Cd  0.000  0.000  0.500
Hg  0.250  0.250  0.750
Rh  0.250  0.250  0.250

[4]
TaSiH2: relaxed, GGA-PBE.

Results
- Density: 8.745 Mg/m³
- Excess energy over the best structure of this formula in the dataset: 0 meV/atom

Cell lengths 4.436, 4.436, 8.146 Å; angles 90.00, 90.00, 90.00 degrees
Space group I-42d (No. 122)
One atom of each set of equivalent atoms:
Ta  0.000  0.000  0.000
Si  0.000  0.000  0.500
H  0.244  0.250  0.125

[5]
Tb2Sm4Tm: relaxed, GGA-PBE.

Results
- Density: 7.580 Mg/m³
- E_form: 0.228 eV per atom
- Excess energy over the best structure of this formula in the dataset: 100 meV/atom

Cell lengths 3.768, 13.762, 18.389 Å; angles 90.00, 90.00, 90.00 degrees
Space group Cmce (No. 64)
One atom of each set of equivalent atoms:
Tb  0.000  0.130  0.153
Sm  0.000  0.084  0.679
Sm  0.000  0.187  0.948
Tm  0.000  0.000  0.500

[6]
Cd2SnGe2Rh5: relaxed, GGA-PBE.

Results
- Density: 10.014 Mg/m³
- E_form: -0.342 eV per atom

Cell lengths 9.716, 9.716, 3.525 Å; angles 90.00, 90.00, 90.00 degrees
Space group P4/mbm (No. 127)
One atom of each set of equivalent atoms:
Cd  0.172  0.328  0.000
Sn  0.000  0.000  0.000
Ge  0.128  0.628  0.000
Rh  0.000  0.500  0.500
Rh  0.078  0.797  0.500